The following is a DFT calculation (PBE) of a geometry-optimized Dy2Er2CI5 structure.

Structure (CIF):
```
data_Dy2Er2CI5
_chemical_formula_sum 'Dy4 Er4 C2 I10'
_symmetry_space_group_name_H-M 'C 1 2/m 1'
_symmetry_Int_Tables_number 12
_cell_length_a 19.059
_cell_length_b 3.942
_cell_length_c 8.564
_cell_angle_alpha 90.00
_cell_angle_beta 102.59
_cell_angle_gamma 90.00
loop_
_symmetry_equiv_pos_as_xyz
'x,y,z'
'-x,-y,-z'
'-x,y,-z'
'x,-y,z'
'x+1/2,y+1/2,z'
'-x+1/2,-y+1/2,-z'
'-x+1/2,y+1/2,-z'
'x+1/2,-y+1/2,z'
loop_
_atom_site_label
_atom_site_type_symbol
_atom_site_fract_x
_atom_site_fract_y
_atom_site_fract_z
Dy1 Dy 0.129 0.000 0.064
Er1 Er 0.000 0.500 0.187
C1 C 0.000 0.000 0.000
I1 I 0.000 0.000 0.500
I2 I 0.162 0.500 0.341
I3 I 0.166 0.500 0.819
```

Computed properties:
Crystal system = monoclinic
Mass density = 6.91 g/cm3
Offset from the most stable computed form = 4 meV/atom